Record 1
DFT (GGA-PBE) results for an optimized crystal structure of BaSc2Zn.

The calculation puts the spin magnetization at 0.04 μB per cell. As for the energy relative to the elements: 0.29 eV/atom. For the uncorrected energy, the calculation gives -14.71 eV for the cell shown. As for the space-group type: No. 119.

Lattice parameters (Å, degrees): 5.7206 5.7206 5.7206 129.36 129.36 74.43
Last column: nearest neighbours and their distance in Å.
Element x y z (fractional)
Zn1 0.5000 0.5000 0.0000  4 Ba 3.34, 8 Sc 3.34-3.46
Sc1 0.0000 0.0000 0.0000  4 Sc 3.34, 4 Ba 3.34, 4 Zn 3.46
Sc2 0.2500 0.7500 0.5000  4 Sc 3.34, 4 Zn 3.34, 4 Ba 3.46
Ba1 0.7500 0.2500 0.5000  4 Zn 3.34, 8 Sc 3.34-3.46

Record 2
DFT (GGA-PBE) results for an optimized crystal structure of Co2RhAu.

The calculation puts the spin magnetization at 4.64 μB per cell. As for the energy relative to the elements: 0.22 eV/atom. For the uncorrected energy, the calculation gives -23.97 eV for the cell shown. As for the space-group type: No. 44.

Lattice parameters (Å, degrees): 5.1248 5.1248 5.1248 147.53 129.20 61.60
Last column: nearest neighbours and their distance in Å.
Element x y z (fractional)
Co1 0.9733 0.9733 0.0000  2 Co 2.32
Co2 0.7656 0.2656 0.5000  2 Co 2.32, 2 Rh 2.57
Rh1 0.5228 0.5228 0.0000  6 Co 2.57-2.66, 2 Rh 2.87
Au1 0.2383 0.7383 0.5000  6 Co 2.63-2.74, 2 Au 2.87, 4 Rh 2.89-2.90

Record 3
DFT (GGA-PBE) results for an optimized crystal structure of LiMg4Co.

The calculation puts the spin magnetization at 1.26 μB per cell. As for the energy relative to the elements: 0.42 eV/atom. For the uncorrected energy, the calculation gives -12.89 eV for the cell shown. As for the space-group type: No. 216.

Lattice parameters (Å, degrees): 5.6162 5.6162 5.6162 60.00 60.00 60.00
Last column: nearest neighbours and their distance in Å.
Element x y z (fractional)
Co1 0.7500 0.7500 0.7500  12 Mg 3.29, 4 Li 3.44
Mg1 0.3757 0.3757 0.8729  6 Mg 2.79-2.82
Mg2 0.3757 0.3757 0.3757  6 Mg 2.79-2.82
Mg3 0.3757 0.8729 0.3757  6 Mg 2.79-2.82
Mg4 0.8729 0.3757 0.3757  6 Mg 2.79-2.82
Li1 0.0000 0.0000 0.0000  12 Mg 3.29, 4 Co 3.44